1.
A relaxed CaY2Mn crystal, computed with PBE.

As for the crystal system: tetragonal. Its calculated volume is 117.04 Å³ per cell. Its formation energy is 216 meV per atom. As for the energy above the lowest structure with this stoichiometry: 84.7 meV per atom. As for the total energy: -5.809 eV per atom. As for the density of states at the Fermi level: 4.9 states/eV/cell.

The space group is P4mm (No. 99) and the conventional cell measures 3.619, 3.619 and 8.937 Å, with angles of 90.00, 90.00 and 90.00 degrees. The distinct sites, in fractional coordinates, are Ca at (0.000, 0.000, 0.000), Y at (0.000, 0.000, 0.403), Y at (0.500, 0.500, 0.681) and Mn at (0.500, 0.500, 0.218).


2.
A relaxed CaMn2Zn crystal, computed with PBE.

As for the crystal system: trigonal. Its calculated volume is 228.74 Å³ per cell. Its formation energy is 561 meV per atom. As for the total energy: -4.843 eV per atom. As for the density of states at the Fermi level: 10.5 states/eV/cell.

The space group is R-3m (No. 166, hexagonal axes) and the conventional cell measures 3.0938, 3.0938 and 27.5956 Å, with angles of 90.00, 90.00 and 120.00 degrees. The distinct sites, in fractional coordinates, are Ca at (0.0000, 0.0000, 0.0000), Mn at (0.0000, 0.0000, 0.2386) and Zn at (0.0000, 0.0000, 0.5000).


Q: What is the calculated volume in the second record?
A: 228.74 Å³ per cell